[1]
The following is a DFT calculation (PBE-GGA) of a geometry-optimized NaSrTa2 structure.

Properties
Symmetry: Fm-3m (225)
VASP energy in eV for the cell shown: -19.6
Crystal system: cubic
DOS at the Fermi energy in states/eV per cell: 6.25
Offset from the most stable computed form in eV/f.u.: 2.299

Cell and atoms, written as POSCAR:
```
NaSrTa2
1.0
3.6285 2.7558 2.3777
-1.0160 2.2343 4.5155
2.1790 -1.7855 4.2986
Sr Na Ta
1 1 2
direct
0.5000 0.5000 0.5000
0.0000 0.0000 0.0000
0.2500 0.2500 0.2500
0.7500 0.7500 0.7500
```

---

[2]
The following is a DFT calculation (PBE-GGA) of a geometry-optimized NaSr6N2 structure.

Properties
Symmetry: C2/m (12)
VASP energy in eV for the cell shown: -30.4
Crystal system: monoclinic
Raw formation energy in eV per atom: -0.2584
DOS at the Fermi energy in states/eV per cell: 4.84

Cell and atoms, written as POSCAR:
```
NaSr6N2
1.0
4.4043 0.0000 0.0000
-2.2022 7.7852 0.3163
0.0000 -2.0450 10.5634
Na Sr N
1 6 2
direct
0.0000 0.0000 0.5000
0.9046 0.8092 0.7990
0.8099 0.6198 0.0980
0.1901 0.3802 0.9020
0.6853 0.3706 0.6309
0.3147 0.6294 0.3691
0.0954 0.1908 0.2010
0.7605 0.5210 0.8501
0.2395 0.4790 0.1499
```

---

[3]
The following is a DFT calculation (PBE-GGA) of a geometry-optimized DyScTlPd structure.

Properties
Symmetry: F-43m (216)
VASP energy in eV for the cell shown: -20.6
Crystal system: cubic
DOS at the Fermi energy in states/eV per cell: 3.70

Cell and atoms, written as POSCAR:
```
DyScTlPd
1.0
5.0406 0.0000 0.0000
2.5203 4.3653 0.0000
2.5203 1.4551 4.1156
Sc Tl Pd Dy
1 1 1 1
direct
0.2500 0.2500 0.2500
0.0000 0.0000 0.0000
0.5000 0.5000 0.5000
0.7500 0.7500 0.7500
```

---

[4]
The following is a DFT calculation (PBE-GGA) of a geometry-optimized KSrBi2B structure.

Properties
Symmetry: P4/mmm (123)
VASP energy in eV for the cell shown: -15.6
Crystal system: tetragonal
DOS at the Fermi energy in states/eV per cell: 3.63

Cell and atoms, written as POSCAR:
```
KSrBi2B
1.0
-2.0381 2.7459 -4.1391
-4.8237 -0.1228 2.2937
1.0837 4.6121 2.5260
Sr K B Bi
1 1 1 2
direct
0.5000 0.5000 0.5000
0.0000 0.5000 0.0000
0.0000 0.0000 0.0000
0.0000 0.0000 0.5000
0.5000 0.0000 0.0000
```

---

[5]
The following is a DFT calculation (PBE-GGA) of a geometry-optimized YHgGe2Bi structure.

Properties
Symmetry: P4/mmm (123)
VASP energy in eV for the cell shown: -17.4
Crystal system: tetragonal
DOS at the Fermi energy in states/eV per cell: 3.20

Cell and atoms, written as POSCAR:
```
YHgGe2Bi
1.0
5.5195 0.0000 0.0000
0.0000 5.8734 0.0000
0.0000 0.0000 5.5195
Y Ge Bi Hg
1 2 1 1
direct
0.0000 0.0000 0.0000
0.0000 0.0000 0.5000
0.5000 0.0000 0.0000
0.0000 0.5000 0.0000
0.5000 0.5000 0.5000
```

---

[6]
The following is a DFT calculation (PBE-GGA) of a geometry-optimized LaNbNi3 structure.

Properties
Symmetry: Pm-3m (221)
VASP energy in eV for the cell shown: -30.6
Crystal system: cubic
DOS at the Fermi energy in states/eV per cell: 4.39
Offset from the most stable computed form in eV/f.u.: 0.000

Cell and atoms, written as POSCAR:
```
LaNbNi3
1.0
4.6628 0.0000 0.0000
0.0000 4.6628 0.0000
0.0000 0.0000 4.6628
Ni Nb La
3 1 1
direct
0.0000 0.5000 0.0000
0.0000 0.0000 0.5000
0.5000 0.0000 0.0000
0.0000 0.0000 0.0000
0.5000 0.5000 0.5000
```